Entry 1:
The following is a DFT calculation (PBE) of a geometry-optimized NaTbPm4S8 structure.

Cell and atoms, written as POSCAR:
```
NaTbPm4S8
1.0
-1.034 -8.153 1.233
3.950 -3.790 6.252
-4.227 -2.709 6.550
Pm S Na Tb
4 8 1 1
Direct
0.488 0.004 0.504
0.624 0.624 0.127
0.004 0.488 0.504
0.004 0.004 0.504
0.224 0.761 0.253
0.236 0.783 0.745
0.240 0.240 0.281
0.761 0.761 0.253
0.783 0.236 0.745
0.761 0.224 0.253
0.236 0.236 0.745
0.758 0.758 0.726
0.376 0.376 0.872
0.004 0.004 0.987
```

**Crystal system**: trigonal
**Uncorrected formation energy**: -27.04 eV per formula unit
**V**: 401.59 Å³/cell
**SG**: R3m
**N(E_F)**: 0.00 states/eV per cell

=====

Entry 2:
The following is a DFT calculation (PBE) of a geometry-optimized NaTb4PmS8 structure.

Cell and atoms, written as POSCAR:
```
NaTb4PmS8
1.0
-2.317 -4.075 6.659
-4.817 -6.529 -0.692
3.040 -7.476 1.462
S Tb Na Pm
8 4 1 1
Direct
0.242 0.782 0.733
0.238 0.238 0.285
0.755 0.228 0.263
0.755 0.755 0.263
0.758 0.758 0.726
0.782 0.242 0.733
0.228 0.755 0.263
0.242 0.242 0.733
0.004 0.487 0.504
0.626 0.626 0.123
0.487 0.004 0.504
0.004 0.004 0.504
0.374 0.374 0.878
0.004 0.004 0.988
```

**Crystal system**: trigonal
**Uncorrected formation energy**: -27.27 eV per formula unit
**V**: 385.91 Å³/cell
**SG**: R3m
**N(E_F)**: 0.00 states/eV per cell

=====

Number 1: calculated total energy -6.072 eV per atom. Number 2: calculated total energy -6.063 eV per atom.